NaCaPmGe, optimized geometry, DFT PBE; M_tot = 0.0 μB per formula unit; symmetry = F-43m (216); energy of formation = -0.25 eV/atom
1.0
0.000 3.742 3.742
3.742 0.000 3.742
3.742 3.742 0.000
Na Ca Pm Ge
1 1 1 1
Cartesian
0.000 0.000 0.000 Na
1.871 1.871 1.871 Ca
5.614 5.614 5.614 Pm
3.742 3.742 3.742 Ge